[1]
This record from Alexandria describes a relaxed structure of Li3ZrIn. The functional is PBE-GGA.

Lattice parameters (Å, degrees): 4.7289 4.7289 4.7289 90.00 90.00 90.00
Closest atoms and distances in Å follow each position.
Fractional coordinates of all 5 atoms:
Li  0.0000  0.0000  0.5000  2 In 2.36
Li  0.0000  0.5000  0.0000  2 In 2.36
Li  0.5000  0.0000  0.0000  2 In 2.36
Zr  0.5000  0.5000  0.5000  12 Li 3.34
In  0.0000  0.0000  0.0000  6 Li 2.36

- ΔE_f (kcal/mol of atoms) = 12.23
- E_tot (eV/atom) = -2.875

***

[2]
This record from Alexandria describes a relaxed structure of LiZrIn2. The functional is PBE-GGA.

Lattice parameters (Å, degrees): 5.4162 3.0639 6.0106 90.00 115.07 90.00
Closest atoms and distances in Å follow each position.
Fractional coordinates of all 4 atoms:
Li  0.0000  0.0000  0.0000  6 In 3.01-3.11, 2 Li 3.06
Zr  0.5000  0.5000  0.5000  6 In 3.01-3.11, 2 Zr 3.06
In  0.0000  0.0000  0.5000  2 Li 3.01, 2 In 3.06, 4 Zr 3.11
In  0.5000  0.5000  0.0000  2 Zr 3.01, 2 In 3.06, 4 Li 3.11

- ΔE_f (kcal/mol of atoms) = -2.92
- E_tot (eV/atom) = -4.111

***

[3]
This record from Alexandria describes a relaxed structure of LiZrIn2. The functional is PBE-GGA.

Lattice parameters (Å, degrees): 11.4727 3.0235 5.4760 90.00 110.95 90.00
Closest atoms and distances in Å follow each position.
Fractional coordinates of all 8 atoms:
Li  0.0000  0.0000  0.0000  7 In 3.02-3.22, 2 Li 3.02, 1 Zr 3.30
Li  0.5000  0.5000  0.0000  7 In 3.02-3.22, 2 Li 3.02, 1 Zr 3.30
Zr  0.2621  0.5000  0.4403  2 Zr 3.02, 7 In 3.04-3.14, 1 Li 3.30
Zr  0.7621  0.0000  0.4403  2 Zr 3.02, 7 In 3.04-3.14, 1 Li 3.30
In  0.0055  0.5000  0.4843  5 In 3.02-3.37, 4 Li 3.03-3.22, 3 Zr 3.04-3.11
In  0.2501  0.0000  0.9340  3 Li 3.02-3.15, 5 In 3.02-3.37, 4 Zr 3.12-3.14
In  0.5055  0.0000  0.4843  5 In 3.02-3.37, 4 Li 3.03-3.22, 3 Zr 3.04-3.11
In  0.7501  0.5000  0.9340  3 Li 3.02-3.15, 5 In 3.02-3.37, 4 Zr 3.12-3.14

- ΔE_f (kcal/mol of atoms) = -4.26
- E_tot (eV/atom) = -4.169

***

[4]
This record from Alexandria describes a relaxed structure of LuIn2. The functional is PBE-GGA.

Lattice parameters (Å, degrees): 4.5585 4.6004 7.4239 90.00 107.94 90.00
Closest atoms and distances in Å follow each position.
Fractional coordinates of all 6 atoms:
Lu  0.1569  0.0000  0.3128  10 In 3.17-3.30, 2 Lu 3.49-3.50
Lu  0.8431  0.0000  0.6872  10 In 3.17-3.30, 2 Lu 3.49-3.50
In  0.0000  0.5000  0.0000  4 Lu 3.19, 8 In 3.24-3.38
In  0.3247  0.5000  0.6481  6 In 3.09-3.39, 6 Lu 3.25-3.30
In  0.5000  0.0000  0.0000  4 Lu 3.17, 8 In 3.24-3.39
In  0.6753  0.5000  0.3519  6 In 3.09-3.39, 6 Lu 3.25-3.30

- ΔE_f (kcal/mol of atoms) = -8.50
- E_tot (eV/atom) = -3.701

***

[5]
This record from Alexandria describes a relaxed structure of LuIn2. The functional is PBE-GGA.

Lattice parameters (Å, degrees): 5.9486 5.9486 5.9486 60.00 60.00 60.00
Closest atoms and distances in Å follow each position.
Fractional coordinates of all 6 atoms:
Lu  0.1250  0.1250  0.1250  12 In 3.49, 4 Lu 3.64
Lu  0.8750  0.8750  0.8750  12 In 3.49, 4 Lu 3.64
In  0.0000  0.5000  0.5000  6 In 2.97
In  0.5000  0.0000  0.5000  6 In 2.97
In  0.5000  0.5000  0.0000  6 In 2.97
In  0.5000  0.5000  0.5000  6 In 2.97

- ΔE_f (kcal/mol of atoms) = -4.74
- E_tot (eV/atom) = -3.538

***

[6]
This record from Alexandria describes a relaxed structure of LuIn6. The functional is PBE-GGA.

Lattice parameters (Å, degrees): 8.0147 8.0147 8.0147 90.00 90.00 90.00
Closest atoms and distances in Å follow each position.
Fractional coordinates of all 14 atoms:
Lu  0.0000  0.0000  0.0000  24 In 4.48
Lu  0.5000  0.5000  0.5000  24 In 4.48
In  0.0000  0.2500  0.5000  4 In 2.83
In  0.0000  0.5000  0.2500  4 In 2.83
In  0.0000  0.5000  0.7500  4 In 2.83
In  0.0000  0.7500  0.5000  4 In 2.83
In  0.2500  0.0000  0.5000  4 In 2.83
In  0.2500  0.5000  0.0000  4 In 2.83
In  0.5000  0.0000  0.2500  4 In 2.83
In  0.5000  0.0000  0.7500  4 In 2.83
In  0.5000  0.2500  0.0000  4 In 2.83
In  0.5000  0.7500  0.0000  4 In 2.83
In  0.7500  0.0000  0.5000  4 In 2.83
In  0.7500  0.5000  0.0000  4 In 2.83

- ΔE_f (kcal/mol of atoms) = 11.73
- E_tot (eV/atom) = -2.485

***

[7]
This record from Alexandria describes a relaxed structure of Lu5In. The functional is PBE-GGA.

Lattice parameters (Å, degrees): 4.7796 14.5952 4.7733 90.00 90.00 90.00
Closest atoms and distances in Å follow each position.
Fractional coordinates of all 12 atoms:
Lu  0.0000  0.0000  0.0000  8 Lu 3.37-3.44, 4 In 3.38
Lu  0.0000  0.1630  0.5000  10 Lu 3.37-3.49, 2 In 3.37
Lu  0.0000  0.3308  0.0000  10 Lu 3.36-3.44, 2 In 3.43
Lu  0.0000  0.6692  0.0000  10 Lu 3.36-3.44, 2 In 3.43
Lu  0.0000  0.8370  0.5000  10 Lu 3.37-3.49, 2 In 3.37
Lu  0.5000  0.1692  0.0000  10 Lu 3.36-3.44, 2 In 3.43
Lu  0.5000  0.3370  0.5000  10 Lu 3.37-3.49, 2 In 3.37
Lu  0.5000  0.5000  0.0000  8 Lu 3.37-3.44, 4 In 3.38
Lu  0.5000  0.6630  0.5000  10 Lu 3.37-3.49, 2 In 3.37
Lu  0.5000  0.8308  0.0000  10 Lu 3.36-3.44, 2 In 3.43
In  0.0000  0.5000  0.5000  12 Lu 3.37-3.43
In  0.5000  0.0000  0.5000  12 Lu 3.37-3.43

- ΔE_f (kcal/mol of atoms) = -3.70
- E_tot (eV/atom) = -4.384

***

[8]
This record from Alexandria describes a relaxed structure of LuMgIn2. The functional is PBE-GGA.

Lattice parameters (Å, degrees): 3.6483 3.6483 7.2489 90.00 90.00 90.00
Closest atoms and distances in Å follow each position.
Fractional coordinates of all 4 atoms:
Lu  0.0000  0.0000  0.0000  8 In 3.22
Mg  0.0000  0.0000  0.5000  8 In 3.09
In  0.5000  0.5000  0.2666  4 Mg 3.09, 4 Lu 3.22, 1 In 3.38
In  0.5000  0.5000  0.7334  4 Mg 3.09, 4 Lu 3.22, 1 In 3.38

- ΔE_f (kcal/mol of atoms) = -5.53
- E_tot (eV/atom) = -3.138